HgPF2 | the Alexandria database | PBE-GGA | optimized geometry; space-group type = No. 122; density of states at the Fermi level = 6.26 states/eV/cell; formation energy (no corrections) = -233.2 kJ/mol of formula units; energy relative to the lowest polymorph listed for this composition = 524 meV per atom
1.0
3.9601 0.0000 0.0000
0.0000 3.9601 0.0000
0.0000 0.0000 15.4991
Hg P F
4 4 8
direct
0.0000 0.0000 0.0000
0.0000 0.5000 0.2500
0.5000 0.0000 0.7500
0.5000 0.5000 0.5000
0.0000 0.0000 0.5000
0.0000 0.5000 0.7500
0.5000 0.0000 0.2500
0.5000 0.5000 0.0000
0.1877 0.2500 0.6250
0.2500 0.6877 0.8750
0.2500 0.8123 0.3750
0.3123 0.2500 0.1250
0.6877 0.7500 0.1250
0.7500 0.1877 0.3750
0.7500 0.3123 0.8750
0.8123 0.7500 0.6250

NdHo4Rh | the Alexandria database | PBE-GGA | optimized geometry; space-group type = No. 63; formation enthalpy at 0 K = -200 meV per atom; density of states at the Fermi level = 13.63 states/eV/cell
1.0
2.7723 -9.1969 0.0000
2.7723 9.1969 0.0000
0.0000 0.0000 7.4727
Nd Ho Rh
2 8 2
direct
0.1165 0.8835 0.7500
0.8835 0.1165 0.2500
0.1188 0.8812 0.2500
0.2971 0.7029 0.0030
0.2971 0.7029 0.4970
0.5000 0.5000 0.0000
0.5000 0.5000 0.5000
0.7029 0.2971 0.5030
0.7029 0.2971 0.9970
0.8812 0.1188 0.7500
0.3988 0.6012 0.7500
0.6012 0.3988 0.2500

SmScIn2Te4 | the Alexandria database | PBE-GGA | optimized geometry; space-group type = No. 10; density of states at the Fermi level = 0.37 states/eV/cell; formation energy (no corrections) = -701.1 kJ/mol of formula units
1.0
7.5610 0.0000 0.0000
0.0000 4.3550 0.0000
-2.4973 0.0000 8.0413
Sm Sc In Te
1 1 2 4
direct
0.0000 0.0000 0.0000
0.5000 0.5000 0.0000
0.0000 0.5000 0.5000
0.5000 0.0000 0.5000
0.2552 0.5000 0.2214
0.2773 0.0000 0.7873
0.7227 0.0000 0.2127
0.7448 0.5000 0.7786

no.,final energy (eV per atom),size of the total moment (Bohr magnetons per cell),calculated volume (Å³/atom)
1,-2.9678,0.00,15.19
2,-5.2722,0.00,31.76
3,-4.5450,0.00,33.10